Version w
The following is a DFT calculation (PBE-GGA) of a geometry-optimized LaGe2Te2 structure.

Summary:
ρ: 6.23 g cm⁻³

a b c (Å): 5.839 5.839 5.903
angles (deg): 60.36 60.36 90.00
Element x y z (fractional)
La: 0.000 0.000 0.000
Te: 0.750 0.250 0.500
Te: 0.250 0.750 0.500
Ge: 0.648 0.648 0.705
Ge: 0.352 0.352 0.295

Version x
The following is a DFT calculation (PBE-GGA) of a geometry-optimized LaGe2Te2 structure.

Summary:
ρ: 6.32 g cm⁻³

a b c (Å): 3.997 3.997 9.306
angles (deg): 77.60 77.60 90.00
Element x y z (fractional)
Ge: 0.250 0.750 0.500
Ge: 0.750 0.250 0.500
Te: 0.400 0.400 0.200
Te: 0.600 0.600 0.800
La: 0.000 0.000 0.000

Result of the stability comparison: version w is the least stable of them.

Version w
The following is a DFT calculation (PBE-GGA) of a geometry-optimized LaTiGe structure.

Summary:
ρ: 6.13 g cm⁻³

a b c (Å): 4.180 4.180 8.046
angles (deg): 90.00 90.00 90.00
Each line ends with the local moment (μB).
Element x y z (fractional)
Ti: 0.000 0.000 0.000  0.41
Ti: 0.500 0.500 0.000  0.41
Ge: 0.500 0.000 0.217  0.00
Ge: 0.000 0.500 0.783  0.00
La: 0.500 0.000 0.653  -0.12
La: 0.000 0.500 0.347  -0.12

Version x
The following is a DFT calculation (PBE-GGA) of a geometry-optimized LaTiGe structure.

Summary:
ρ: 6.05 g cm⁻³

a b c (Å): 4.159 4.159 8.749
angles (deg): 103.75 103.75 90.00
Each line ends with the local moment (μB).
Element x y z (fractional)
La: 0.673 0.673 0.347  0.23
La: 0.327 0.327 0.653  0.23
Ge: 0.111 0.111 0.223  -0.04
Ge: 0.889 0.889 0.777  -0.04
Ti: 0.500 0.000 0.000  0.84
Ti: 0.000 0.500 0.000  0.84

Result of the stability comparison: version x is the least stable of them.

Version w
The following is a DFT calculation (PBE-GGA) of a geometry-optimized LaTiGe2 structure.

Summary:
ρ: 5.20 g cm⁻³

a b c (Å): 4.975 4.975 9.263
angles (deg): 74.42 74.42 90.00
Element x y z (fractional)
La: 0.750 0.250 0.500
La: 0.000 0.000 0.000
Ti: 0.500 0.500 0.000
Ti: 0.250 0.750 0.500
Ge: 0.875 0.710 0.750
Ge: 0.375 0.540 0.750
Ge: 0.460 0.125 0.250
Ge: 0.290 0.625 0.250

Version x
The following is a DFT calculation (PBE-GGA) of a geometry-optimized LaTiGe2 structure.

Summary:
ρ: 6.47 g cm⁻³

a b c (Å): 4.939 4.939 4.939
angles (deg): 60.00 60.00 60.00
Element x y z (fractional)
Ti: 0.000 0.000 0.000
La: 0.500 0.500 0.500
Ge: 0.750 0.750 0.750
Ge: 0.250 0.250 0.250

Result of the stability comparison: version w is the least stable of them.

Version w
The following is a DFT calculation (PBE-GGA) of a geometry-optimized LaTiGe3 structure.

Summary:
ρ: 6.53 g cm⁻³

a b c (Å): 6.337 6.337 5.920
angles (deg): 90.00 90.00 120.00
Element x y z (fractional)
Ge: 0.197 0.394 0.250
Ge: 0.197 0.803 0.250
Ge: 0.394 0.197 0.750
Ge: 0.803 0.606 0.750
Ge: 0.803 0.197 0.750
Ge: 0.606 0.803 0.250
Ti: 0.000 0.000 0.000
Ti: 0.000 0.000 0.500
La: 0.333 0.667 0.750
La: 0.667 0.333 0.250

Version x
The following is a DFT calculation (PBE-GGA) of a geometry-optimized LaTiGe3 structure.

Summary:
ρ: 4.09 g cm⁻³

a b c (Å): 5.476 5.476 5.476
angles (deg): 90.00 90.00 90.00
Each line ends with the local moment (μB).
Element x y z (fractional)
La: 0.000 0.000 0.000  -0.06
Ge: 0.500 0.000 0.000  -0.01
Ge: 0.000 0.500 0.000  -0.05
Ge: 0.000 0.000 0.500  -0.04
Ti: 0.500 0.500 0.500  1.76

Result of the stability comparison: version x is the least stable of them.

Version w
The following is a DFT calculation (PBE-GGA) of a geometry-optimized LaTl3Ge structure.

Summary:
ρ: 8.47 g cm⁻³

a b c (Å): 5.448 5.448 5.448
angles (deg): 90.00 90.00 90.00
Element x y z (fractional)
La: 0.500 0.500 0.500
Ge: 0.000 0.000 0.000
Tl: 0.000 0.000 0.500
Tl: 0.000 0.500 0.000
Tl: 0.500 0.000 0.000

Version x
The following is a DFT calculation (PBE-GGA) of a geometry-optimized LaTl3Ge structure.

Summary:
ρ: 6.14 g cm⁻³

a b c (Å): 6.063 6.063 6.063
angles (deg): 90.00 90.00 90.00
Element x y z (fractional)
Tl: 0.000 0.000 0.500
Tl: 0.500 0.000 0.000
Tl: 0.000 0.500 0.000
Ge: 0.500 0.500 0.500
La: 0.000 0.000 0.000

Result of the stability comparison: version x is the least stable of them.

Version w
The following is a DFT calculation (PBE-GGA) of a geometry-optimized LaTl2Ge2 structure.

Summary:
ρ: 8.29 g cm⁻³

a b c (Å): 4.633 4.633 7.251
angles (deg): 71.37 71.37 90.00
Element x y z (fractional)
Tl: 0.614 0.614 0.772
Tl: 0.386 0.386 0.228
La: 0.000 0.000 0.000
Ge: 0.750 0.250 0.500
Ge: 0.250 0.750 0.500

Version x
The following is a DFT calculation (PBE-GGA) of a geometry-optimized LaTl2Ge2 structure.

Summary:
ρ: 8.61 g cm⁻³

a b c (Å): 7.874 7.874 4.312
angles (deg): 90.00 90.00 90.00
Element x y z (fractional)
Ge: 0.887 0.613 0.000
Ge: 0.387 0.887 0.000
Ge: 0.613 0.113 0.000
Ge: 0.113 0.387 0.000
Tl: 0.826 0.326 0.500
Tl: 0.674 0.826 0.500
Tl: 0.326 0.174 0.500
Tl: 0.174 0.674 0.500
La: 0.000 0.000 0.000
La: 0.500 0.500 0.000

Version y
The following is a DFT calculation (PBE-GGA) of a geometry-optimized LaTl2Ge2 structure.

Summary:
ρ: 8.33 g cm⁻³

a b c (Å): 4.459 4.459 7.633
angles (deg): 73.02 73.02 90.00
Element x y z (fractional)
La: 0.000 0.000 0.000
Ge: 0.413 0.413 0.174
Ge: 0.587 0.587 0.826
Tl: 0.750 0.250 0.500
Tl: 0.250 0.750 0.500

Version z
The following is a DFT calculation (PBE-GGA) of a geometry-optimized LaTl2Ge2 structure.

Summary:
ρ: 8.78 g cm⁻³

a b c (Å): 8.505 8.505 3.623
angles (deg): 90.00 90.00 90.00
Element x y z (fractional)
Tl: 0.873 0.627 0.000
Tl: 0.627 0.127 0.000
Tl: 0.127 0.373 0.000
Tl: 0.373 0.873 0.000
Ge: 0.827 0.327 0.500
Ge: 0.327 0.173 0.500
Ge: 0.673 0.827 0.500
Ge: 0.173 0.673 0.500
La: 0.500 0.500 0.000
La: 0.000 0.000 0.000

Result of the stability comparison: version w is the least stable of them.

Version w
The following is a DFT calculation (PBE-GGA) of a geometry-optimized La2Tl2Ge structure.

Summary:
ρ: 7.90 g cm⁻³

a b c (Å): 7.973 7.973 5.023
angles (deg): 90.00 90.00 90.00
Element x y z (fractional)
Tl: 0.655 0.845 0.500
Tl: 0.155 0.655 0.500
Tl: 0.845 0.345 0.500
Tl: 0.345 0.155 0.500
Ge: 0.500 0.500 0.000
Ge: 0.000 0.000 0.000
La: 0.849 0.651 0.000
La: 0.151 0.349 0.000
La: 0.651 0.151 0.000
La: 0.349 0.849 0.000

Version x
The following is a DFT calculation (PBE-GGA) of a geometry-optimized La2Tl2Ge structure.

Summary:
ρ: 8.37 g cm⁻³

a b c (Å): 7.843 7.843 4.896
angles (deg): 90.00 90.00 90.00
Element x y z (fractional)
La: 0.169 0.669 0.500
La: 0.831 0.331 0.500
La: 0.669 0.831 0.500
La: 0.331 0.169 0.500
Ge: 0.000 0.000 0.000
Ge: 0.500 0.500 0.000
Tl: 0.863 0.637 0.000
Tl: 0.363 0.863 0.000
Tl: 0.637 0.137 0.000
Tl: 0.137 0.363 0.000

Version y
The following is a DFT calculation (PBE-GGA) of a geometry-optimized La2Tl2Ge structure.

Summary:
ρ: 7.36 g cm⁻³

a b c (Å): 4.961 4.961 7.789
angles (deg): 71.43 71.43 90.00
Element x y z (fractional)
Tl: 0.402 0.402 0.196
Tl: 0.598 0.598 0.804
La: 0.750 0.250 0.500
La: 0.250 0.750 0.500
Ge: 0.000 0.000 0.000

Result of the stability comparison: version y is the least stable of them.

Version w
The following is a DFT calculation (PBE-GGA) of a geometry-optimized LaTlGe structure.

Summary:
ρ: 8.09 g cm⁻³

a b c (Å): 4.791 4.535 4.535
angles (deg): 120.00 90.00 90.00
Element x y z (fractional)
Ge: 0.029 0.000 0.000
Tl: 0.273 0.333 0.667
La: 0.698 0.667 0.333

Version x
The following is a DFT calculation (PBE-GGA) of a geometry-optimized LaTlGe structure.

Summary:
ρ: 8.17 g cm⁻³

a b c (Å): 4.049 4.383 9.768
angles (deg): 102.97 90.00 90.00
Element x y z (fractional)
Ge: 0.250 0.457 0.914
Ge: 0.750 0.543 0.086
La: 0.250 0.091 0.183
La: 0.750 0.909 0.817
Tl: 0.750 0.714 0.428
Tl: 0.250 0.286 0.572

Result of the stability comparison: version w is the least stable of them.

Version w
The following is a DFT calculation (PBE-GGA) of a geometry-optimized La2TmGe structure.

Summary:
ρ: 7.77 g cm⁻³

a b c (Å): 4.908 4.755 4.755
angles (deg): 90.00 90.00 90.00
Element x y z (fractional)
Ge: 0.500 0.000 0.000
Tm: 0.500 0.500 0.500
La: 0.000 0.000 0.500
La: 0.000 0.500 0.000

Version x
The following is a DFT calculation (PBE-GGA) of a geometry-optimized La2TmGe structure.

Summary:
ρ: 7.29 g cm⁻³

a b c (Å): 4.151 4.151 6.864
angles (deg): 90.00 90.00 90.00
Element x y z (fractional)
Tm: 0.500 0.500 0.000
Ge: 0.500 0.500 0.500
La: 0.000 0.000 0.718
La: 0.000 0.000 0.282

Result of the stability comparison: version x is the least stable of them.

Version w
The following is a DFT calculation (PBE-GGA) of a geometry-optimized La2TmGe2 structure.

Summary:
ρ: 7.21 g cm⁻³

a b c (Å): 4.550 7.742 7.742
angles (deg): 90.00 90.00 90.00
Element x y z (fractional)
Ge: 0.000 0.623 0.123
Ge: 0.000 0.123 0.377
Ge: 0.000 0.877 0.623
Ge: 0.000 0.377 0.877
La: 0.500 0.325 0.175
La: 0.500 0.175 0.675
La: 0.500 0.675 0.825
La: 0.500 0.825 0.325
Tm: 0.000 0.500 0.500
Tm: 0.000 0.000 0.000

Version x
The following is a DFT calculation (PBE-GGA) of a geometry-optimized La2TmGe2 structure.

Summary:
ρ: 7.06 g cm⁻³

a b c (Å): 4.484 6.729 10.129
angles (deg): 78.78 77.21 70.54
Element x y z (fractional)
Tm: 0.224 0.919 0.632
Tm: 0.776 0.081 0.368
Ge: 0.881 0.678 0.560
Ge: 0.009 0.870 0.112
Ge: 0.119 0.322 0.440
Ge: 0.991 0.130 0.888
La: 0.321 0.267 0.091
La: 0.485 0.343 0.687
La: 0.515 0.657 0.313
La: 0.679 0.733 0.909

Result of the stability comparison: version x is the least stable of them.

Version w
The following is a DFT calculation (PBE-GGA) of a geometry-optimized LaVGe2 structure.

Summary:
ρ: 5.44 g cm⁻³

a b c (Å): 4.992 4.992 8.942
angles (deg): 73.79 73.79 90.00
Each line ends with the local moment (μB).
Element x y z (fractional)
V: 0.500 0.500 0.000  1.49
V: 0.250 0.750 0.500  1.49
Ge: 0.375 0.552 0.750  -0.06
Ge: 0.302 0.625 0.250  -0.06
Ge: 0.875 0.698 0.750  -0.06
Ge: 0.448 0.125 0.250  -0.06
La: 0.750 0.250 0.500  0.03
La: 0.000 0.000 0.000  0.03

Version x
The following is a DFT calculation (PBE-GGA) of a geometry-optimized LaVGe2 structure.

Summary:
ρ: 6.85 g cm⁻³

a b c (Å): 2.996 2.996 10.587
angles (deg): 81.87 81.87 60.00
Element x y z (fractional)
Ge: 0.101 0.101 0.697
Ge: 0.899 0.899 0.303
V: 0.500 0.500 0.500
La: 0.000 0.000 0.000

Result of the stability comparison: version x is the least stable of them.